# PBE-GGA BeCo2Os, relaxed
# crystal system	tetragonal
# total magnetic moment	0.0	μB/f.u.
# DFT total energy	-7.419	eV per atom
# E_form	-0.13	eV per atom
# density	12.46	g/cm3
data_BeCo2Os
_space_group_name_H-M_alt 'P 4/m m m'
_space_group_IT_number 123
_space_group_name_Hall '-P 4 2'
_cell_length_a 2.601
_cell_length_b 2.601
_cell_length_c 6.245
_cell_angle_alpha 90.00
_cell_angle_beta 90.00
_cell_angle_gamma 90.00
loop_
_atom_site_label
_atom_site_type_symbol
_atom_site_fract_x
_atom_site_fract_y
_atom_site_fract_z
Be1 Be 0.000 0.000 0.000
Co1 Co 0.500 0.500 0.213
Os1 Os 0.000 0.000 0.500


# PBE-GGA MgAgIO2, relaxed
# relative energy among the computed polymorphs	0	meV per atom
# crystal system	tetragonal
# total magnetic moment	0.2	μB/f.u.
# DFT total energy	-3.589	eV per atom
# density	4.62	g/cm3
# formation energy without anion corrections	-0.406	eV per atom
data_MgAgIO2
_space_group_name_H-M_alt 'P 4/m m m'
_space_group_IT_number 123
_space_group_name_Hall '-P 4 2'
_cell_length_a 3.980
_cell_length_b 3.980
_cell_length_c 6.613
_cell_angle_alpha 90.00
_cell_angle_beta 90.00
_cell_angle_gamma 90.00
loop_
_atom_site_label
_atom_site_type_symbol
_atom_site_fract_x
_atom_site_fract_y
_atom_site_fract_z
Mg1 Mg 0.000 0.000 0.000
Ag1 Ag 0.500 0.500 0.500
I1 I 0.000 0.000 0.500
O1 O 0.000 0.500 0.000


# PBE-GGA TlTcAg2, relaxed
# relative energy among the computed polymorphs	12	meV per atom
# crystal system	orthorhombic
# total magnetic moment	0.0	μB/f.u.
# DFT total energy	-4.072	eV per atom
# E_form	0.54	eV per atom
# density	11.75	g/cm3
data_TlTcAg2
_space_group_name_H-M_alt 'P m m m'
_space_group_IT_number 47
_space_group_name_Hall '-P 2 2'
_cell_length_a 3.203
_cell_length_b 4.645
_cell_length_c 4.921
_cell_angle_alpha 90.00
_cell_angle_beta 90.00
_cell_angle_gamma 90.00
loop_
_atom_site_label
_atom_site_type_symbol
_atom_site_fract_x
_atom_site_fract_y
_atom_site_fract_z
Tl1 Tl 0.000 0.000 0.000
Tc1 Tc 0.500 0.500 0.000
Ag1 Ag 0.000 0.500 0.500
Ag2 Ag 0.500 0.000 0.500


# PBE-GGA PuTiO6, relaxed
# crystal system	monoclinic
# total magnetic moment	0.0	μB/f.u.
# DFT total energy	-8.420	eV per atom
# density	4.67	g/cm3
# formation energy without anion corrections	-1.923	eV per atom
data_PuTiO6
_space_group_name_H-M_alt 'C 1 2/m 1'
_space_group_IT_number 12
_space_group_name_Hall '-C 2y'
_cell_length_a 5.429
_cell_length_b 9.208
_cell_length_c 5.571
_cell_angle_alpha 90.00
_cell_angle_beta 97.58
_cell_angle_gamma 90.00
loop_
_atom_site_label
_atom_site_type_symbol
_atom_site_fract_x
_atom_site_fract_y
_atom_site_fract_z
Pu1 Pu 0.000 0.000 0.000
Ti1 Ti 0.000 0.000 0.500
O1 O 0.133 0.134 0.264
O2 O 0.236 0.500 0.215